# 1
Entry from Alexandria via LeMat-Bulk: a relaxed structure of KCuIO2 (PBE-GGA).

```
KCuIO2
1.0
4.305 0.000 0.000
0.000 4.305 0.000
0.000 0.000 5.299
I K O Cu
1 1 2 1
Cartesian
0.000 0.000 2.649
2.153 2.153 2.649
0.000 2.153 0.000
2.153 0.000 0.000
0.000 0.000 0.000
```

Results
Fermi-level density of states = 4.0 states/eV per cell
Total magnetization = 1.87 μB/f.u.
Energy relative to the elements, uncorrected = -0.0963 eV per atom
Uncorrected energy = -3.428 eV per atom

---

# 2
Entry from Alexandria via LeMat-Bulk: a relaxed structure of YGeN3 (PBE-GGA).

```
YGeN3
1.0
-1.798 1.524 -3.019
-2.952 -2.375 0.560
-1.650 2.590 2.290
Y Ge N
1 1 3
Cartesian
-3.200 0.869 -0.085
0.000 0.000 0.000
-1.476 -1.188 0.280
-0.825 1.295 1.145
-0.899 0.762 -1.510
```

Results
Fermi-level density of states = 3.6 states/eV per cell
Total magnetization = 0.00 μB/f.u.
Energy relative to the elements, uncorrected = 0.0825 eV per atom
Uncorrected energy = -7.129 eV per atom

---

# 3
Entry from Alexandria via LeMat-Bulk: a relaxed structure of Li3YCu (PBE-GGA).

```
Li3YCu
1.0
4.666 0.000 0.000
0.000 4.666 0.000
0.000 0.000 4.666
Y Cu Li
1 1 3
Cartesian
2.333 2.333 2.333
0.000 0.000 0.000
0.000 2.333 0.000
0.000 0.000 2.333
2.333 0.000 0.000
```

Results
DFT formation energy = 0.232 eV/atom
Fermi-level density of states = 4.0 states/eV per cell
Total magnetization = 0.59 μB/f.u.
Uncorrected energy = -3.029 eV per atom

---

# 4
Entry from Alexandria via LeMat-Bulk: a relaxed structure of Tl2As2Pb (PBE-GGA).

```
Tl2As2Pb
1.0
7.591 0.000 0.000
0.000 7.591 0.000
0.000 0.000 5.101
Pb Tl As
2 4 4
Cartesian
0.000 0.000 0.000
3.796 3.796 0.000
1.358 5.153 2.550
5.153 6.234 2.550
6.234 2.438 2.550
2.438 1.358 2.550
2.935 6.731 0.000
6.731 4.656 0.000
4.656 0.861 0.000
0.861 2.935 0.000
```

Results
DFT formation energy = 0.019 eV/atom
Fermi-level density of states = 2.1 states/eV per cell
Total magnetization = 0.00 μB/f.u.
Uncorrected energy = -3.529 eV per atom

---

The highest uncorrected energy belongs to which entry?
Li3YCu